! LiPaHgSb (PBE, relaxed); values from VASP
&SYSTEM
  ibrav = 0, nat = 4, ntyp = 4
/
ATOMIC_SPECIES
Sb 121.76 Sb.upf
Pa 231.04 Pa.upf
Hg 200.59 Hg.upf
Li 6.94 Li.upf
ATOMIC_POSITIONS crystal
Sb 0.250 0.250 0.250
Pa 0.500 0.500 0.500
Hg 0.750 0.750 0.750
Li 0.000 0.000 0.000
CELL_PARAMETERS angstrom
5.128 0.000 0.000
2.564 4.441 0.000
2.564 1.480 4.187
! E_tot ... -16.66 eV for the cell shown
! Theoretical density ... 9.8 g/cm³